The following is a PBE-GGA calculation of crystalline BaEuGa2 at its relaxed geometry, from Alexandria.

abc: 5.5846 5.5846 5.5846
angles: 60.00 60.00 60.00
Atoms (fractional coordinates):
Ba 0.0000 0.0000 0.0000
Eu 0.5000 0.5000 0.5000
Ga 0.2500 0.2500 0.2500
Ga 0.7500 0.7500 0.7500

Output
**Crystal system**: cubic
**Uncorrected energy**: -19.57 eV per cell
**Space-group type**: Fm-3m (225)
**Magnetization**: 7.4 μB per formula unit
**ΔE_f**: -0.33 eV per atom

---

The following is a PBE-GGA calculation of crystalline BaEu2Ga at its relaxed geometry, from Alexandria.

abc: 3.9252 3.9252 9.9703
angles: 90.00 90.00 90.00
Atoms (fractional coordinates):
Ba 0.0000 0.0000 0.0000
Eu 0.5000 0.5000 0.3288
Eu 0.5000 0.5000 0.6712
Ga 0.0000 0.0000 0.5000

Output
**Crystal system**: tetragonal
**Uncorrected energy**: -26.34 eV per cell
**Space-group type**: P4/mmm (123)
**Magnetization**: 14.8 μB per formula unit
**ΔE_f**: -0.21 eV per atom

---

The following is a PBE-GGA calculation of crystalline Ba2EuGa at its relaxed geometry, from Alexandria.

abc: 12.9286 12.9286 12.9286
angles: 18.66 18.66 18.66
Atoms (fractional coordinates):
Ba 0.1050 0.1050 0.1050
Ba 0.8950 0.8950 0.8950
Eu 0.0000 0.0000 0.0000
Ga 0.5000 0.5000 0.5000

Output
**Crystal system**: trigonal
**Uncorrected energy**: -16.98 eV per cell
**Space-group type**: R-3m (166)
**Magnetization**: 7.6 μB per formula unit
**ΔE_f**: 0.04 eV per atom

---

The following is a PBE-GGA calculation of crystalline Ba2EuGa at its relaxed geometry, from Alexandria.

abc: 5.9465 5.9465 4.6297
angles: 90.00 90.00 90.00
Atoms (fractional coordinates):
Ba 0.0000 0.5000 0.0000
Ba 0.5000 0.0000 0.0000
Eu 0.0000 0.0000 0.5000
Ga 0.5000 0.5000 0.5000

Output
**Crystal system**: tetragonal
**Uncorrected energy**: -17.27 eV per cell
**Space-group type**: P4/mmm (123)
**Magnetization**: 7.3 μB per formula unit
**ΔE_f**: -0.03 eV per atom

---

The following is a PBE-GGA calculation of crystalline BaEu2Ga at its relaxed geometry, from Alexandria.

abc: 7.2112 7.2112 7.2112
angles: 43.27 43.27 43.27
Atoms (fractional coordinates):
Ba 0.0000 0.0000 0.0000
Eu 0.2138 0.2138 0.2138
Eu 0.7862 0.7862 0.7862
Ga 0.5000 0.5000 0.5000

Output
**Crystal system**: trigonal
**Uncorrected energy**: -25.76 eV per cell
**Space-group type**: R-3m (166)
**Magnetization**: 14.9 μB per formula unit
**ΔE_f**: -0.07 eV per atom

---

The following is a PBE-GGA calculation of crystalline BaEuMgGa at its relaxed geometry, from Alexandria.

abc: 5.7211 5.7211 5.7211
angles: 60.00 60.00 60.00
Atoms (fractional coordinates):
Ba 0.0000 0.0000 0.0000
Eu 0.5000 0.5000 0.5000
Mg 0.7500 0.7500 0.7500
Ga 0.2500 0.2500 0.2500

Output
**Crystal system**: cubic
**Uncorrected energy**: -17.55 eV per cell
**Space-group type**: F-43m (216)
**Magnetization**: 7.1 μB per formula unit
**ΔE_f**: -0.18 eV per atom

---

The following is a PBE-GGA calculation of crystalline BaNaEuGa at its relaxed geometry, from Alexandria.

abc: 5.8337 5.8337 5.8337
angles: 60.00 60.00 60.00
Atoms (fractional coordinates):
Ba 0.0000 0.0000 0.0000
Na 0.7500 0.7500 0.7500
Eu 0.5000 0.5000 0.5000
Ga 0.2500 0.2500 0.2500

Output
**Crystal system**: cubic
**Uncorrected energy**: -17.00 eV per cell
**Space-group type**: F-43m (216)
**Magnetization**: 7.1 μB per formula unit
**ΔE_f**: -0.11 eV per atom

---

The following is a PBE-GGA calculation of crystalline BaEuGaPd at its relaxed geometry, from Alexandria.

abc: 5.4507 5.4507 5.4507
angles: 60.00 60.00 60.00
Atoms (fractional coordinates):
Ba 0.0000 0.0000 0.0000
Eu 0.5000 0.5000 0.5000
Ga 0.2500 0.2500 0.2500
Pd 0.7500 0.7500 0.7500

Output
**Crystal system**: cubic
**Uncorrected energy**: -21.85 eV per cell
**Space-group type**: F-43m (216)
**Magnetization**: 7.1 μB per formula unit
**ΔE_f**: -0.36 eV per atom

---

The following is a PBE-GGA calculation of crystalline Ba2EuGd at its relaxed geometry, from Alexandria.

abc: 6.5687 6.5687 4.4995
angles: 90.00 90.00 90.00
Atoms (fractional coordinates):
Ba 0.0000 0.5000 0.0000
Ba 0.5000 0.0000 0.0000
Eu 0.0000 0.0000 0.5000
Gd 0.5000 0.5000 0.5000

Output
**Crystal system**: tetragonal
**Uncorrected energy**: -27.43 eV per cell
**Space-group type**: P4/mmm (123)
**Magnetization**: 0.2 μB per formula unit
**ΔE_f**: 0.19 eV per atom

---

The following is a PBE-GGA calculation of crystalline BaEuGd2 at its relaxed geometry, from Alexandria.

abc: 13.4049 13.4049 13.4049
angles: 15.90 15.90 15.90
Atoms (fractional coordinates):
Ba 0.0000 0.0000 0.0000
Eu 0.5000 0.5000 0.5000
Gd 0.0907 0.0907 0.0907
Gd 0.9093 0.9093 0.9093

Output
**Crystal system**: trigonal
**Uncorrected energy**: -39.34 eV per cell
**Space-group type**: R-3m (166)
**Magnetization**: 22.8 μB per formula unit
**ΔE_f**: 0.26 eV per atom

---

The following is a PBE-GGA calculation of crystalline BaSrEuGd at its relaxed geometry, from Alexandria.

abc: 6.3981 6.3981 6.3981
angles: 60.00 60.00 60.00
Atoms (fractional coordinates):
Ba 0.0000 0.0000 0.0000
Sr 0.2500 0.2500 0.2500
Eu 0.5000 0.5000 0.5000
Gd 0.7500 0.7500 0.7500

Output
**Crystal system**: cubic
**Uncorrected energy**: -27.23 eV per cell
**Space-group type**: F-43m (216)
**Magnetization**: 14.6 μB per formula unit
**ΔE_f**: 0.18 eV per atom

---

The following is a PBE-GGA calculation of crystalline BaEuGe at its relaxed geometry, from Alexandria.

abc: 5.1300 5.1300 4.8935
angles: 90.00 90.00 120.00
Atoms (fractional coordinates):
Ba 0.0000 0.0000 0.0000
Eu 0.6667 0.3333 0.5238
Ge 0.3333 0.6667 0.3920

Output
**Crystal system**: trigonal
**Uncorrected energy**: -17.83 eV per cell
**Space-group type**: P3m1 (156)
**Magnetization**: 7.0 μB per formula unit
**ΔE_f**: -0.34 eV per atom